[1]
Below is an optimized crystal structure of FeSiP2, with properties calculated at the PBE level.

Unit cell a=4.5339 b=4.5339 c=4.5339 alpha=138.55 beta=115.84 gamma=79.31
Closest atoms and distances in Å follow each position.
Element x y z (fractional)
Fe (0.0000, 0.0000, 0.0000)  4 P 2.42
Si (0.5000, 0.5000, 0.0000)  4 P 2.32
P (0.2593, 0.7593, 0.5000)  2 Si 2.32, 2 Fe 2.42
P (0.7407, 0.2407, 0.5000)  2 Si 2.32, 2 Fe 2.42

Values from the calculation:
DOS at the Fermi energy   0.681 states/eV/atom
ΔE_f (raw)   0.3261 eV per atom
Total moment   1.851 μB/f.u.

---

[2]
Below is an optimized crystal structure of Ba2ZrBr, with properties calculated at the PBE level.

Unit cell a=6.8320 b=6.8320 c=6.1284 alpha=106.68 beta=106.68 gamma=31.40
Closest atoms and distances in Å follow each position.
Element x y z (fractional)
Ba (0.0000, 0.0000, 0.0000)  3 Zr 3.58-3.79, 4 Br 3.69, 4 Ba 3.70-3.96
Ba (0.1990, 0.1990, 0.6289)  3 Br 3.50-3.86, 4 Zr 3.65-3.68, 2 Ba 3.70
Zr (0.7632, 0.7632, 0.1728)  2 Br 2.99
Br (0.4292, 0.4292, 0.4544)  2 Zr 2.99

Values from the calculation:
DOS at the Fermi energy   1.221 states/eV/atom
Energy relative to the lowest polymorph listed for this composition   154 meV per atom
ΔE_f (raw)   -0.1444 eV per atom
Total moment   0.596 μB/f.u.

---

[3]
Below is an optimized crystal structure of LiZrBr2, with properties calculated at the PBE level.

Unit cell a=7.2304 b=7.2304 c=7.2304 alpha=149.35 beta=149.35 gamma=43.89
Closest atoms and distances in Å follow each position.
Element x y z (fractional)
Li (0.0000, 0.0000, 0.0000)  4 Br 2.70
Zr (0.2500, 0.7500, 0.5000)  4 Br 2.70
Br (0.5000, 0.5000, 0.0000)  4 Li 2.70
Br (0.7500, 0.2500, 0.5000)  4 Zr 2.70

Values from the calculation:
DOS at the Fermi energy   0.835 states/eV/atom
Energy relative to the lowest polymorph listed for this composition   389 meV per atom
ΔE_f (raw)   -0.4465 eV per atom
Total moment   1.263 μB/f.u.

---

[4]
Below is an optimized crystal structure of ReMoAu2, with properties calculated at the PBE level.

Unit cell a=7.0891 b=7.0891 c=7.0891 alpha=131.85 beta=131.85 gamma=70.46
Closest atoms and distances in Å follow each position.
Element x y z (fractional)
Re (0.0000, 0.0000, 0.0000)  4 Au 2.49
Re (0.7500, 0.2500, 0.5000)  4 Au 2.49
Mo (0.2500, 0.7500, 0.5000)  4 Au 2.52
Mo (0.5000, 0.5000, 0.0000)  4 Au 2.52
Au (0.1199, 0.6250, 0.9949)  2 Re 2.49, 2 Mo 2.52
Au (0.3750, 0.3699, 0.4949)  2 Re 2.49, 2 Mo 2.52
Au (0.6301, 0.1250, 0.0051)  2 Re 2.49, 2 Mo 2.52
Au (0.8750, 0.8801, 0.5051)  2 Re 2.49, 2 Mo 2.52

Values from the calculation:
DOS at the Fermi energy   0.378 states/eV/atom
Energy relative to the lowest polymorph listed for this composition   1600 meV per atom
Energy relative to the elements   1856 meV/atom
Total moment   0.000 μB/f.u.

---

Question: The lowest DOS at the Fermi energy belongs to which entry?
Answer: ReMoAu2